# 1
DFT (PBE-GGA) results for Hf2FeH6 after structural relaxation.

Output
SG = No. 12
V = 8.19 A^3/atom
Total energy = -5.62 eV/atom

extended XYZ file:
```
9
Lattice="3.648 -1.654 0.000 3.648 1.654 0.000 -0.346 0.000 6.105" Properties=species:S:1:pos:R:3 pbc="T T T"
Hf 1.412 0.000 1.639
Hf 5.538 0.000 4.466
Fe 3.648 0.000 0.000
H 1.053 0.000 3.599
H 1.770 0.000 5.734
H 3.529 0.000 1.617
H 3.421 0.000 4.488
H 5.180 0.000 0.371
H 5.897 0.000 2.506
```

---

# 2
DFT (PBE-GGA) results for HfFeH3 after structural relaxation.

Output
SG = No. 14
V = 8.00 A^3/atom
Total energy = -5.93 eV/atom

extended XYZ file:
```
20
Lattice="5.367 0.000 0.000 0.000 4.112 0.000 -3.049 0.000 7.253" Properties=species:S:1:pos:R:3 pbc="T T T"
Hf 0.495 1.005 1.305
Hf -1.029 1.051 4.932
Hf 3.347 3.061 2.321
Hf 1.822 3.107 5.948
Fe 0.474 3.072 3.204
Fe -1.050 3.096 6.831
Fe 3.368 1.016 0.423
Fe 1.843 1.040 4.049
H 0.005 3.079 1.685
H -1.520 3.089 5.312
H 0.206 0.504 3.346
H -1.319 1.552 6.972
H 0.671 2.155 4.581
H 2.196 4.012 0.954
H 0.122 0.099 6.299
H 1.646 1.956 2.672
H 3.636 2.560 0.281
H 2.112 3.608 3.908
H 3.838 1.023 1.941
H 2.313 1.033 5.568
```

---

# 3
DFT (PBE-GGA) results for HfFeHg2H after structural relaxation.

Output
SG = No. 123
V = 21.32 A^3/atom
Total energy = -3.70 eV/atom

extended XYZ file:
```
5
Lattice="5.500 0.000 0.000 0.000 5.500 0.000 0.000 0.000 3.525" Properties=species:S:1:pos:R:3 pbc="T T T"
Hf 0.000 0.000 0.000
Fe 2.750 2.750 1.763
Hg 0.000 2.750 0.000
Hg 2.750 0.000 0.000
H 0.000 0.000 1.763
```

---

# 4
DFT (PBE-GGA) results for HfFeHIr2 after structural relaxation.

Output
SG = No. 123
V = 12.36 A^3/atom
Total energy = -8.33 eV/atom
E above lowest polymorph = 0.0 meV per atom

extended XYZ file:
```
5
Lattice="3.983 0.000 0.000 0.000 3.983 0.000 0.000 0.000 3.895" Properties=species:S:1:pos:R:3 pbc="T T T"
Hf 0.000 0.000 0.000
Fe 1.991 1.991 0.000
H 1.991 1.991 1.947
Ir 0.000 1.991 1.947
Ir 1.991 0.000 1.947
```

---

# 5
DFT (PBE-GGA) results for HfFeHIr2 after structural relaxation.

Output
SG = No. 123
V = 12.66 A^3/atom
Total energy = -8.25 eV/atom
E above lowest polymorph = 80.2 meV per atom

extended XYZ file:
```
5
Lattice="3.952 0.000 0.000 0.000 3.952 0.000 0.000 0.000 4.051" Properties=species:S:1:pos:R:3 pbc="T T T"
Hf 0.000 0.000 0.000
Fe 1.976 1.976 0.000
H 0.000 0.000 2.026
Ir 0.000 1.976 2.026
Ir 1.976 0.000 2.026
```

---

# 6
DFT (PBE-GGA) results for HfFe2HIr after structural relaxation.

Output
SG = No. 123
V = 11.94 A^3/atom
Total energy = -8.10 eV/atom
E above lowest polymorph = 0.0 meV per atom

extended XYZ file:
```
5
Lattice="3.773 0.000 0.000 0.000 3.773 0.000 0.000 0.000 4.195" Properties=species:S:1:pos:R:3 pbc="T T T"
Hf 0.000 0.000 0.000
Fe 0.000 1.887 2.097
Fe 1.887 0.000 2.097
H 0.000 0.000 2.097
Ir 1.887 1.887 0.000
```

---

# 7
DFT (PBE-GGA) results for HfFe2HIr after structural relaxation.

Output
SG = No. 123
V = 11.88 A^3/atom
Total energy = -8.09 eV/atom
E above lowest polymorph = 15.0 meV per atom

extended XYZ file:
```
5
Lattice="3.874 0.000 0.000 0.000 3.874 0.000 0.000 0.000 3.958" Properties=species:S:1:pos:R:3 pbc="T T T"
Hf 0.000 0.000 0.000
Fe 0.000 1.937 1.979
Fe 1.937 0.000 1.979
H 1.937 1.937 1.979
Ir 1.937 1.937 0.000
```

---

# 8
DFT (PBE-GGA) results for Hf2FeHIr after structural relaxation.

Output
SG = No. 123
V = 13.85 A^3/atom
Total energy = -8.67 eV/atom

extended XYZ file:
```
5
Lattice="4.505 0.000 0.000 0.000 4.505 0.000 0.000 0.000 3.413" Properties=species:S:1:pos:R:3 pbc="T T T"
Hf 0.000 2.252 0.000
Hf 2.252 0.000 0.000
Fe 0.000 0.000 1.706
H 0.000 0.000 0.000
Ir 2.252 2.252 1.706
```